Entry 1:
# SnRh2Br, optimized geometry, DFT GGA-PBE
data_SnRh2Br
_chemical_formula_sum 'Sn1 Rh2 Br1'
_space_group_name_H-M_alt 'P 1'
_space_group_IT_number 1
_cell_length_a 4.643
_cell_length_b 4.643
_cell_length_c 4.643
_cell_angle_alpha 60.00
_cell_angle_beta 60.00
_cell_angle_gamma 60.00
loop_
_space_group_symop_operation_xyz
'x,y,z'
loop_
_atom_site_label
_atom_site_type_symbol
_atom_site_fract_x
_atom_site_fract_y
_atom_site_fract_z
Rh1 Rh 0.250 0.250 0.250
Rh2 Rh 0.750 0.750 0.750
Sn1 Sn 0.500 0.500 0.500
Br1 Br 0.000 0.000 0.000
# - formation energy (no corrections) (eV per atom) = 0.209
# - volume (Å³/cell) = 70.8
# - symmetry = No. 225
# - total magnetization (μB/f.u.) = 0.96

Entry 2:
# LiAlCuPt, optimized geometry, DFT GGA-PBE
data_LiAlCuPt
_chemical_formula_sum 'Li1 Al1 Cu1 Pt1'
_space_group_name_H-M_alt 'P 1'
_space_group_IT_number 1
_cell_length_a 4.219
_cell_length_b 4.219
_cell_length_c 4.219
_cell_angle_alpha 60.00
_cell_angle_beta 60.00
_cell_angle_gamma 60.00
loop_
_space_group_symop_operation_xyz
'x,y,z'
loop_
_atom_site_label
_atom_site_type_symbol
_atom_site_fract_x
_atom_site_fract_y
_atom_site_fract_z
Li1 Li 0.500 0.500 0.500
Cu1 Cu 0.250 0.250 0.250
Pt1 Pt 0.750 0.750 0.750
Al1 Al 0.000 0.000 0.000
# - volume (Å³/cell) = 53.1
# - symmetry = No. 216
# - electronic total energy (eV/atom) = -4.584
# - total magnetization (μB/f.u.) = 0.00

Entry 3:
# TmLuThIn, optimized geometry, DFT GGA-PBE
data_TmLuThIn
_chemical_formula_sum 'Tm1 Lu1 Th1 In1'
_space_group_name_H-M_alt 'P 1'
_space_group_IT_number 1
_cell_length_a 5.418
_cell_length_b 5.418
_cell_length_c 5.418
_cell_angle_alpha 60.00
_cell_angle_beta 60.00
_cell_angle_gamma 60.00
loop_
_space_group_symop_operation_xyz
'x,y,z'
loop_
_atom_site_label
_atom_site_type_symbol
_atom_site_fract_x
_atom_site_fract_y
_atom_site_fract_z
Lu1 Lu 0.000 0.000 0.000
Tm1 Tm 0.500 0.500 0.500
Th1 Th 0.750 0.750 0.750
In1 In 0.250 0.250 0.250
# - volume (Å³/cell) = 112.4
# - symmetry = No. 216
# - electronic total energy (eV/atom) = -4.788
# - total magnetization (μB/f.u.) = 1.38

Entry 4:
# NbHgS2, optimized geometry, DFT GGA-PBE
data_NbHgS2
_chemical_formula_sum 'Nb4 Hg4 S8'
_space_group_name_H-M_alt 'P 1'
_space_group_IT_number 1
_cell_length_a 9.267
_cell_length_b 3.305
_cell_length_c 13.486
_cell_angle_alpha 90.00
_cell_angle_beta 90.00
_cell_angle_gamma 90.00
loop_
_space_group_symop_operation_xyz
'x,y,z'
loop_
_atom_site_label
_atom_site_type_symbol
_atom_site_fract_x
_atom_site_fract_y
_atom_site_fract_z
S1 S 0.666 0.250 0.563
S2 S 0.834 0.750 0.063
S3 S 0.334 0.750 0.437
S4 S 0.166 0.250 0.937
S5 S 0.350 0.250 0.694
S6 S 0.150 0.750 0.194
S7 S 0.650 0.750 0.306
S8 S 0.850 0.250 0.806
Nb1 Nb 0.527 0.250 0.410
Nb2 Nb 0.973 0.750 0.910
Nb3 Nb 0.473 0.750 0.590
Nb4 Nb 0.027 0.250 0.090
Hg1 Hg 0.040 0.250 0.607
Hg2 Hg 0.460 0.750 0.107
Hg3 Hg 0.960 0.750 0.393
Hg4 Hg 0.540 0.250 0.893
# - formation energy (no corrections) (eV per atom) = -0.587
# - volume (Å³/cell) = 413.1
# - symmetry = No. 62
# - total magnetization (μB/f.u.) = 0.00

Entry 5:
# Tl3In10Hg3, optimized geometry, DFT GGA-PBE
data_Tl3In10Hg3
_chemical_formula_sum 'Tl3 In10 Hg3'
_space_group_name_H-M_alt 'P 1'
_space_group_IT_number 1
_cell_length_a 6.036
_cell_length_b 9.325
_cell_length_c 9.325
_cell_angle_alpha 120.00
_cell_angle_beta 90.00
_cell_angle_gamma 90.00
loop_
_space_group_symop_operation_xyz
'x,y,z'
loop_
_atom_site_label
_atom_site_type_symbol
_atom_site_fract_x
_atom_site_fract_y
_atom_site_fract_z
Tl1 Tl 0.000 0.000 0.594
Tl2 Tl 0.000 0.594 0.000
Tl3 Tl 0.000 0.406 0.406
In1 In 0.254 0.667 0.333
In2 In 0.254 0.333 0.667
In3 In 0.746 0.333 0.667
In4 In 0.746 0.667 0.333
In5 In 0.500 0.000 0.784
In6 In 0.500 0.784 0.000
In7 In 0.500 0.216 0.216
In8 In 0.000 0.000 0.213
In9 In 0.000 0.213 0.000
In10 In 0.000 0.787 0.787
Hg1 Hg 0.500 0.000 0.398
Hg2 Hg 0.500 0.398 0.000
Hg3 Hg 0.500 0.602 0.602
# - volume (Å³/cell) = 454.5
# - symmetry = No. 189
# - electronic total energy (eV/atom) = -2.152
# - total magnetization (μB/f.u.) = 0.00

Entry 6:
# U4Ga12Ag, optimized geometry, DFT GGA-PBE
data_U4Ga12Ag
_chemical_formula_sum 'U4 Ga12 Ag1'
_space_group_name_H-M_alt 'P 1'
_space_group_IT_number 1
_cell_length_a 7.502
_cell_length_b 7.502
_cell_length_c 7.502
_cell_angle_alpha 109.47
_cell_angle_beta 109.47
_cell_angle_gamma 109.47
loop_
_space_group_symop_operation_xyz
'x,y,z'
loop_
_atom_site_label
_atom_site_type_symbol
_atom_site_fract_x
_atom_site_fract_y
_atom_site_fract_z
U1 U 0.000 0.000 0.500
U2 U 0.500 0.000 0.000
U3 U 0.500 0.500 0.500
U4 U 0.000 0.500 0.000
Ga1 Ga 0.000 0.301 0.301
Ga2 Ga 0.000 0.699 0.699
Ga3 Ga 0.699 0.699 0.000
Ga4 Ga 0.301 0.301 0.000
Ga5 Ga 0.301 0.000 0.301
Ga6 Ga 0.699 0.000 0.699
Ga7 Ga 0.500 0.250 0.750
Ga8 Ga 0.500 0.750 0.250
Ga9 Ga 0.750 0.250 0.500
Ga10 Ga 0.250 0.750 0.500
Ga11 Ga 0.750 0.500 0.250
Ga12 Ga 0.250 0.500 0.750
Ag1 Ag 0.000 0.000 0.000
# - volume (Å³/cell) = 325.0
# - symmetry = No. 229
# - electronic total energy (eV/atom) = -5.162
# - total magnetization (μB/f.u.) = 9.50

Entry 7:
# MgTi3, optimized geometry, DFT GGA-PBE
data_MgTi3
_chemical_formula_sum 'Mg2 Ti6'
_space_group_name_H-M_alt 'P 1'
_space_group_IT_number 1
_cell_length_a 4.760
_cell_length_b 5.191
_cell_length_c 5.827
_cell_angle_alpha 90.00
_cell_angle_beta 90.00
_cell_angle_gamma 90.00
loop_
_space_group_symop_operation_xyz
'x,y,z'
loop_
_atom_site_label
_atom_site_type_symbol
_atom_site_fract_x
_atom_site_fract_y
_atom_site_fract_z
Mg1 Mg 0.000 0.843 0.000
Mg2 Mg 0.500 0.157 0.500
Ti1 Ti 0.000 0.348 0.252
Ti2 Ti 0.000 0.835 0.500
Ti3 Ti 0.000 0.348 0.748
Ti4 Ti 0.500 0.165 0.000
Ti5 Ti 0.500 0.652 0.248
Ti6 Ti 0.500 0.652 0.752
# - volume (Å³/cell) = 144.0
# - symmetry = No. 59
# - electronic total energy (eV/atom) = -6.187
# - total magnetization (μB/f.u.) = 0.00

Entry 8:
# Zr2PaBi3, optimized geometry, DFT GGA-PBE
data_Zr2PaBi3
_chemical_formula_sum 'Zr4 Pa2 Bi6'
_space_group_name_H-M_alt 'P 1'
_space_group_IT_number 1
_cell_length_a 4.188
_cell_length_b 7.214
_cell_length_c 11.261
_cell_angle_alpha 90.00
_cell_angle_beta 90.00
_cell_angle_gamma 90.00
loop_
_space_group_symop_operation_xyz
'x,y,z'
loop_
_atom_site_label
_atom_site_type_symbol
_atom_site_fract_x
_atom_site_fract_y
_atom_site_fract_z
Zr1 Zr 0.000 0.984 0.213
Zr2 Zr 0.500 0.007 0.468
Zr3 Zr 0.000 0.484 0.787
Zr4 Zr 0.500 0.507 0.532
Pa1 Pa 0.000 0.017 0.888
Pa2 Pa 0.000 0.517 0.112
Bi1 Bi 0.500 0.192 0.069
Bi2 Bi 0.500 0.205 0.712
Bi3 Bi 0.000 0.296 0.385
Bi4 Bi 0.500 0.692 0.931
Bi5 Bi 0.500 0.705 0.288
Bi6 Bi 0.000 0.796 0.615
# - volume (Å³/cell) = 340.2
# - symmetry = No. 26
# - electronic total energy (eV/atom) = -6.550
# - total magnetization (μB/f.u.) = 1.27

Entry 9:
# ScGa2SnGe, optimized geometry, DFT GGA-PBE
data_ScGa2SnGe
_chemical_formula_sum 'Sc1 Ga2 Sn1 Ge1'
_space_group_name_H-M_alt 'P 1'
_space_group_IT_number 1
_cell_length_a 4.826
_cell_length_b 5.556
_cell_length_c 4.826
_cell_angle_alpha 90.00
_cell_angle_beta 90.00
_cell_angle_gamma 90.00
loop_
_space_group_symop_operation_xyz
'x,y,z'
loop_
_atom_site_label
_atom_site_type_symbol
_atom_site_fract_x
_atom_site_fract_y
_atom_site_fract_z
Sc1 Sc 0.500 0.500 0.500
Ge1 Ge 0.000 0.000 0.000
Sn1 Sn 0.000 0.500 0.000
Ga1 Ga 0.000 0.000 0.500
Ga2 Ga 0.500 0.000 0.000
# - volume (Å³/cell) = 129.4
# - symmetry = No. 123
# - electronic total energy (eV/atom) = -3.859
# - total magnetization (μB/f.u.) = 0.00

Entry 10:
# Mg2Ge2Au, optimized geometry, DFT GGA-PBE
data_Mg2Ge2Au
_chemical_formula_sum 'Mg4 Ge4 Au2'
_space_group_name_H-M_alt 'P 1'
_space_group_IT_number 1
_cell_length_a 8.231
_cell_length_b 8.231
_cell_length_c 2.905
_cell_angle_alpha 90.00
_cell_angle_beta 90.00
_cell_angle_gamma 90.00
loop_
_space_group_symop_operation_xyz
'x,y,z'
loop_
_atom_site_label
_atom_site_type_symbol
_atom_site_fract_x
_atom_site_fract_y
_atom_site_fract_z
Ge1 Ge 0.168 0.668 0.500
Ge2 Ge 0.668 0.832 0.500
Ge3 Ge 0.832 0.332 0.500
Ge4 Ge 0.332 0.168 0.500
Au1 Au 0.000 0.000 0.000
Au2 Au 0.500 0.500 0.000
Mg1 Mg 0.365 0.865 0.000
Mg2 Mg 0.865 0.635 0.000
Mg3 Mg 0.635 0.135 0.000
Mg4 Mg 0.135 0.365 0.000
# - volume (Å³/cell) = 196.8
# - symmetry = No. 127
# - electronic total energy (eV/atom) = -3.127
# - total magnetization (μB/f.u.) = 0.00